Material: RbNa2NpBr8
Method: DFT, GGA-PBE
State: relaxed

Cell: 6.5691 6.9478 9.8047 Å, 90.03 90.13 93.40°
Last column: nearest neighbours and their distance in Å.
Atoms (fractional coordinates):
Rb (0.0000, 0.0000, 0.0000)  6 Br 3.52-3.60
Na (0.4990, 0.4998, 0.7489)  6 Br 2.97-3.13
Na (0.5010, 0.5002, 0.2511)  6 Br 2.97-3.13
Np (0.0000, 0.0000, 0.5000)  6 Br 2.74-2.76
Br (0.2367, 0.8518, 0.3010)  1 Np 2.74
Br (0.2381, 0.8533, 0.6995)  1 Np 2.74
Br (0.2472, 0.4757, 0.0000)  2 Na 2.97, 2 Br 3.29-3.32
Br (0.2514, 0.3325, 0.4995)  1 Np 2.76
Br (0.7486, 0.6675, 0.5005)  1 Np 2.76
Br (0.7528, 0.5243, 0.0000)  2 Na 2.97, 2 Br 3.29-3.32
Br (0.7619, 0.1467, 0.3005)  1 Np 2.74
Br (0.7633, 0.1482, 0.6990)  1 Np 2.74

VASP energy	-3.790	eV per atom
symmetry	P-1 (2)
E_form (uncorrected)	-1296	meV/atom
total magnetization	2.9	μB/cell



Material: Be2HgIr
Method: DFT, GGA-PBE
State: relaxed

Cell: 2.8288 2.8288 8.0876 Å, 90.00 90.00 118.87°
Last column: nearest neighbours and their distance in Å.
Atoms (fractional coordinates):
Be (0.0000, 0.0000, 0.0000)  2 Ir 2.21, 2 Be 2.21
Be (0.5000, 0.5000, 0.2078)  2 Be 2.21
Hg (0.0000, 0.0000, 0.4784)  2 Be 2.62, 6 Hg 2.83-2.88, 2 Ir 2.92
Ir (0.5000, 0.5000, 0.7925)  2 Be 2.21

VASP energy	-3.741	eV per atom
symmetry	Cmm2 (35)
energy of formation from the pure elements	0.41	eV/atom
total magnetization	0.0	μB/cell



Material: LiCd2Ga2
Method: DFT, GGA-PBE
State: relaxed

Cell: 7.7905 7.7905 3.4828 Å, 90.00 90.00 90.00°
Last column: nearest neighbours and their distance in Å.
Atoms (fractional coordinates):
Li (0.0000, 0.0000, 0.0000)  4 Ga 3.10, 8 Cd 3.35
Li (0.5000, 0.5000, 0.0000)  4 Ga 3.10, 8 Cd 3.35
Cd (0.1809, 0.3191, 0.5000)  6 Ga 2.79-2.96
Cd (0.3191, 0.8191, 0.5000)  6 Ga 2.79-2.96
Cd (0.6809, 0.1809, 0.5000)  6 Ga 2.79-2.96
Cd (0.8191, 0.6809, 0.5000)  6 Ga 2.79-2.96
Ga (0.1211, 0.6211, 0.0000)  1 Ga 2.67, 6 Cd 2.79-2.96
Ga (0.3789, 0.1211, 0.0000)  1 Ga 2.67, 6 Cd 2.79-2.96
Ga (0.6211, 0.8789, 0.0000)  1 Ga 2.67, 6 Cd 2.79-2.96
Ga (0.8789, 0.3789, 0.0000)  1 Ga 2.67, 6 Cd 2.79-2.96

VASP energy	-1.988	eV per atom
symmetry	P4/mbm (127)
offset from the most stable computed form	0.005	eV/atom
energy of formation from the pure elements	-0.03	eV/atom
total magnetization	0.0	μB/cell



Material: BaTa2Au
Method: DFT, GGA-PBE
State: relaxed

Cell: 4.2671 4.2671 5.1404 Å, 90.00 90.00 90.00°
Last column: nearest neighbours and their distance in Å.
Atoms (fractional coordinates):
Ba (0.0000, 0.0000, 0.0000)  4 Au 3.02, 8 Ta 3.34
Ta (0.0000, 0.5000, 0.5000)  4 Ta 3.02, 4 Ba 3.34, 4 Au 3.34
Ta (0.5000, 0.0000, 0.5000)  4 Ta 3.02, 4 Ba 3.34, 4 Au 3.34
Au (0.5000, 0.5000, 0.0000)  4 Ba 3.02, 8 Ta 3.34

VASP energy	-6.248	eV per atom
symmetry	P4/mmm (123)
offset from the most stable computed form	0.676	eV/atom
energy of formation from the pure elements	0.98	eV/atom
total magnetization	0.7	μB/cell



Material: SrUO4
Method: DFT, GGA-PBE
State: relaxed

Cell: 3.9205 3.9205 6.7841 Å, 106.88 106.88 59.91°
Last column: nearest neighbours and their distance in Å.
Atoms (fractional coordinates):
Sr (0.0000, 0.0000, 0.0000)  6 O 2.55
U (0.5000, 0.5000, 0.5000)  2 O 2.02
O (0.1884, 0.1884, 0.5652)  3 U 2.30, 3 O 2.41
O (0.3947, 0.3947, 0.1841)  1 U 2.02
O (0.6053, 0.6053, 0.8159)  1 U 2.02
O (0.8116, 0.8116, 0.4348)  3 U 2.30, 3 O 2.41

VASP energy	-8.578	eV per atom
symmetry	C2/m (12)
E_form (uncorrected)	-3111	meV/atom
total magnetization	0.0	μB/cell



Material: Ni2HIrRu
Method: DFT, GGA-PBE
State: relaxed

Cell: 3.7837 3.7837 3.6887 Å, 90.00 90.00 90.00°
Last column: nearest neighbours and their distance in Å.
Atoms (fractional coordinates):
Ni (0.0000, 0.5000, 0.0000)  2 H 1.89
Ni (0.5000, 0.0000, 0.0000)  2 H 1.89
H (0.0000, 0.0000, 0.0000)  2 Ru 1.84, 4 Ni 1.89
Ir (0.5000, 0.5000, 0.5000)  8 Ni 2.64, 4 Ru 2.68
Ru (0.0000, 0.0000, 0.5000)  2 H 1.84

VASP energy	-6.496	eV per atom
symmetry	P4/mmm (123)
offset from the most stable computed form	0.000	eV/atom
total magnetization	0.0	μB/cell